No. 1
## PmPrInCo (PBE)

Data for crystalline PmPrInCo at its relaxed geometry.

Calculated values
Formation enthalpy at 0 K: -0.10 eV per atom

a b c (Å): 7.451 7.451 7.451
angles (deg): 90.00 90.00 90.00
Space group F-43m (No. 216)
Inequivalent atoms, fractional coordinates:
Pm 0.000 0.000 0.000 [4 per cell]
Pr 0.000 0.000 0.500 [4 per cell]
In 0.250 0.250 0.250 [4 per cell]
Co 0.250 0.250 0.750 [4 per cell]

---

No. 2
## ReNi2Pt (PBE)

Data for crystalline ReNi2Pt at its relaxed geometry.

Calculated values
Formation enthalpy at 0 K: 0.14 eV per atom
Offset from the most stable computed form: 221 meV per atom

a b c (Å): 4.343 4.343 2.768
angles (deg): 90.00 90.00 90.00
Space group P4/mmm (No. 123)
Inequivalent atoms, fractional coordinates:
Re 0.000 0.000 0.000 [1 per cell]
Ni 0.000 0.500 0.500 [2 per cell]
Pt 0.500 0.500 0.000 [1 per cell]

---

No. 3
## Sm6RhSe3S2 (PBE)

Data for crystalline Sm6RhSe3S2 at its relaxed geometry.

Calculated values
Energy: -6.235 eV/atom

a b c (Å): 18.111 4.055 8.340
angles (deg): 90.00 103.85 90.00
Space group C2/m (No. 12)
Inequivalent atoms, fractional coordinates:
Sm 0.003 0.000 0.234 [4 per cell]
Sm 0.164 0.500 0.092 [4 per cell]
Sm 0.170 0.500 0.572 [4 per cell]
Rh 0.000 0.500 0.000 [2 per cell]
Se 0.000 0.500 0.500 [2 per cell]
Se 0.168 0.000 0.831 [4 per cell]
S 0.168 0.000 0.334 [4 per cell]

---

No. 4
## CaYCdSi (PBE)

Data for crystalline CaYCdSi at its relaxed geometry.

Calculated values
Energy: -4.048 eV/atom

a b c (Å): 7.295 7.295 7.295
angles (deg): 90.00 90.00 90.00
Space group F-43m (No. 216)
Inequivalent atoms, fractional coordinates:
Ca 0.000 0.000 0.000 [4 per cell]
Y 0.000 0.000 0.500 [4 per cell]
Cd 0.250 0.250 0.250 [4 per cell]
Si 0.250 0.250 0.750 [4 per cell]

---

No. 5
## SrZnS3 (PBE)

Data for crystalline SrZnS3 at its relaxed geometry.

Calculated values
Energy: -2.698 eV/atom

a b c (Å): 5.708 5.708 5.708
angles (deg): 90.00 90.00 90.00
Space group Pm-3m (No. 221)
Inequivalent atoms, fractional coordinates:
Sr 0.000 0.000 0.000 [1 per cell]
Zn 0.500 0.500 0.500 [1 per cell]
S 0.000 0.000 0.500 [3 per cell]

---

No. 6
## SrFeTc (PBE)

Data for crystalline SrFeTc at its relaxed geometry.

Calculated values
Formation enthalpy at 0 K: 0.50 eV per atom
Offset from the most stable computed form: 0 meV per atom

a b c (Å): 3.9028 3.9028 5.1199
angles (deg): 90.00 90.00 120.00
Space group P-6m2 (No. 187)
Inequivalent atoms, fractional coordinates:
Sr 0.0000 0.0000 0.0000 [1 per cell]
Fe 0.3333 0.6667 0.5000 [1 per cell]
Tc 0.6667 0.3333 0.5000 [1 per cell]